(1)
# Dy3Te

A geometry-optimized Dy3Te structure (GGA-PBE, the Alexandria database).

- space group = Pmm2
- ΔE_f (raw) (eV/atom) = -0.352
- polymorph energy (0 for the lowest one) (eV per formula unit) = 1.13

a = 3.7649 Å, b = 3.7740 Å, c = 9.3795 Å
α = 90.00°, β = 90.00°, γ = 90.00°
Last column: nearest neighbours and their distance in Å.
Fractional positions:
1 Dy 0.0000 0.0000 0.0000  2 Te 3.14
2 Dy 0.0000 0.5000 0.4321  4 Te 3.08
3 Dy 0.5000 0.5000 0.7528  10 Dy 3.53-3.77
4 Te 0.5000 0.0000 0.2681  6 Dy 3.08-3.14

(2)
# CoPt2C

A geometry-optimized CoPt2C structure (GGA-PBE, the Alexandria database).

- space group = I-42d
- E_form (eV/atom) = 0.556

a = 5.5674 Å, b = 5.5674 Å, c = 5.5674 Å
α = 97.41°, β = 97.41°, γ = 137.91°
Last column: nearest neighbours and their distance in Å.
Fractional positions:
1 Co 0.0000 0.0000 0.0000  2 C 2.00
2 Co 0.7500 0.2500 0.5000  2 C 2.00
3 Pt 0.2565 0.1250 0.6315  2 C 2.09
4 Pt 0.3750 0.7435 0.8685  2 C 2.09
5 Pt 0.4935 0.6250 0.3685  2 C 2.09
6 Pt 0.8750 0.5065 0.1315  2 C 2.09
7 C 0.2500 0.7500 0.5000  2 Co 2.00, 4 Pt 2.09
8 C 0.5000 0.5000 0.0000  2 Co 2.00, 4 Pt 2.09

(3)
# Nb3IrRh

A geometry-optimized Nb3IrRh structure (GGA-PBE, the Alexandria database).

- space group = Pm-3m
- polymorph energy (0 for the lowest one) (eV per formula unit) = 0.00
- E_form (eV/atom) = 1.064

a = 4.8030 Å, b = 4.8030 Å, c = 4.8030 Å
α = 90.00°, β = 90.00°, γ = 90.00°
Last column: nearest neighbours and their distance in Å.
Fractional positions:
1 Nb 0.0000 0.0000 0.5000  2 Ir 2.40
2 Nb 0.0000 0.5000 0.0000  2 Ir 2.40
3 Nb 0.5000 0.0000 0.0000  2 Ir 2.40
4 Ir 0.0000 0.0000 0.0000  6 Nb 2.40
5 Rh 0.5000 0.5000 0.5000  12 Nb 3.40

(4)
# Cu2Te8Au

A geometry-optimized Cu2Te8Au structure (GGA-PBE, the Alexandria database).

- space group = C2/m
- ΔE_f (raw) (eV/atom) = 0.065

a = 6.7946 Å, b = 6.7946 Å, c = 7.3092 Å
α = 99.29°, β = 99.29°, γ = 75.77°
Last column: nearest neighbours and their distance in Å.
Fractional positions:
1 Cu 0.2132 0.2132 0.3045  4 Te 2.58-2.62, 1 Au 2.85
2 Cu 0.7868 0.7868 0.6955  4 Te 2.58-2.62, 1 Au 2.85
3 Te 0.1067 0.5670 0.8669  1 Cu 2.58
4 Te 0.1301 0.1301 0.6112  1 Cu 2.58
5 Te 0.4330 0.8933 0.1331  1 Cu 2.58
6 Te 0.4584 0.4584 0.3110  1 Cu 2.62, 1 Te 2.72
7 Te 0.5416 0.5416 0.6890  1 Cu 2.62, 1 Te 2.72
8 Te 0.5670 0.1067 0.8669  1 Cu 2.58
9 Te 0.8699 0.8699 0.3888  1 Cu 2.58
10 Te 0.8933 0.4330 0.1331  1 Cu 2.58
11 Au 0.0000 0.0000 0.0000  2 Cu 2.85, 4 Te 2.90

Listing spin magnetization for the structures above in their given order: 0.93, 1.14, 0.00, 0.00 μB per formula unit.